Crystalline BaCrSi2 at its relaxed geometry, computed with PBE.

The structure in POSCAR format:
```
BaCrSi2
1.0
4.020 -1.899 0.000
4.020 1.899 0.000
-3.114 0.000 6.207
Ba Cr Si
1 1 2
Cartesian
0.000 0.000 0.000
4.984 0.000 2.843
-0.632 0.000 3.640
2.525 0.000 2.292
```

relative energy among the computed polymorphs = 83.7 meV per atom
crystal system = monoclinic

---

Crystalline LaTbEr4S8 at its relaxed geometry, computed with PBE.

The structure in POSCAR format:
```
LaTbEr4S8
1.0
4.032 2.328 6.616
-4.032 2.328 6.616
0.000 -4.656 6.616
La Tb Er S
1 1 4 8
Cartesian
0.000 0.000 0.000
0.000 0.000 12.397
-2.000 -1.155 9.118
0.000 0.000 4.984
2.000 -1.155 9.118
0.000 2.310 9.118
0.000 -2.222 10.694
-1.925 1.111 10.694
0.000 0.000 7.600
-1.819 -1.050 14.184
1.925 1.111 10.694
0.000 0.000 17.109
1.819 -1.050 14.184
0.000 2.100 14.184
```

crystal system = trigonal

---

Crystalline Cd2In2GaHg7 at its relaxed geometry, computed with PBE.

The structure in POSCAR format:
```
Cd2In2GaHg7
1.0
9.968 -2.609 0.000
9.968 2.609 0.000
-0.668 0.000 5.929
Cd In Ga Hg
2 2 1 7
Cartesian
0.000 0.000 0.000
9.646 0.000 3.835
11.451 0.000 1.189
18.134 0.000 2.645
4.485 0.000 4.877
1.399 0.000 3.630
3.250 0.000 1.158
6.399 0.000 2.677
8.244 0.000 0.202
12.878 0.000 4.500
14.793 0.000 1.916
16.035 0.000 5.261
```

E_form = 0.044 eV/atom
crystal system = monoclinic

---

Number 1: DFT total energy -5.65 eV/atom. Number 2: DFT total energy -6.28 eV/atom. Number 3: DFT total energy -0.99 eV/atom.